<one>
Density functional theory data (PBE-GGA) for a relaxed structure of AlPRu2.

Lattice parameters (Å, degrees): 8.7851 2.9357 4.3268 90.00 106.95 90.00
Last column: nearest neighbours and their distance in Å.
Space group Cm (No. 8)
One atom of each set of equivalent atoms:
Al: 0.0000 0.0000 0.0000  7 Ru 2.42-2.66
P: 0.2573 0.5000 0.3467  5 Ru 2.45-2.53, 2 Al 2.75
Ru: 0.2551 0.0000 0.8917  3 Al 2.42-2.53, 2 P 2.45
Ru: 0.4964 0.0000 0.4862  3 P 2.49-2.53, 4 Al 2.57-2.66



<two>
Density functional theory data (PBE-GGA) for a relaxed structure of AlPRu2.

Lattice parameters (Å, degrees): 2.9954 4.9229 7.6933 90.00 90.00 90.00
Last column: nearest neighbours and their distance in Å.
Space group Cmmm (No. 65)
One atom of each set of equivalent atoms:
Al: 0.0000 0.0000 0.0000  4 Ru 2.58, 4 Al 2.88
P: 0.0000 0.0000 0.5000  4 Ru 2.30
Ru: 0.0000 0.5000 0.2728  2 P 2.30



<three>
Density functional theory data (PBE-GGA) for a relaxed structure of AlPRu2.

Lattice parameters (Å, degrees): 4.1835 2.9085 4.8934 90.00 114.38 90.00
Last column: nearest neighbours and their distance in Å.
Space group P2/m (No. 10)
One atom of each set of equivalent atoms:
Al: 0.0000 0.0000 0.0000  6 Ru 2.48-2.55
P: 0.0000 0.5000 0.5000  6 Ru 2.48-2.55
Ru: 0.5000 0.0000 0.5000  2 Al 2.48, 4 P 2.55
Ru: 0.5000 0.5000 0.0000  2 P 2.48, 4 Al 2.55



<four>
Density functional theory data (PBE-GGA) for a relaxed structure of AlPRu2.

Lattice parameters (Å, degrees): 2.8887 4.2807 4.7144 90.00 107.69 90.00
Last column: nearest neighbours and their distance in Å.
Space group Pm (No. 6)
One atom of each set of equivalent atoms:
Al: 0.0000 0.0000 0.0000  3 Ru 2.39-2.55
P: 0.6360 0.5000 0.2787  5 Ru 2.30-2.55
Ru: 0.3688 0.5000 0.7458  3 P 2.39-2.55
Ru: 0.7319 0.0000 0.4684  2 P 2.30, 3 Al 2.39-2.55



The least stable of them is <two>.



<one>
Density functional theory data (PBE-GGA) for a relaxed structure of AlPRu2.

Lattice parameters (Å, degrees): 6.8203 6.8203 5.2557 90.00 90.00 90.00
Last column: nearest neighbours and their distance in Å.
Space group I-42d (No. 122)
One atom of each set of equivalent atoms:
Al: 0.0000 0.0000 0.0000  2 P 2.63, 8 Ru 2.85-2.88
P: 0.0000 0.0000 0.5000  4 Ru 2.20
Ru: 0.1788 0.2500 0.6250  2 P 2.20



<two>
Density functional theory data (PBE-GGA) for a relaxed structure of AlPRu2.

Lattice parameters (Å, degrees): 7.7965 2.8815 4.9611 90.00 101.24 90.00
Last column: nearest neighbours and their distance in Å.
Space group C2/m (No. 12)
One atom of each set of equivalent atoms:
Al: 0.0000 0.0000 0.0000  6 Ru 2.55-2.60
P: 0.0000 0.5000 0.5000  6 Ru 2.47-2.49
Ru: 0.2461 0.0000 0.7297  3 P 2.47-2.49, 3 Al 2.55-2.60, 2 Ru 2.71



The least stable of them is <one>.



<one>
Density functional theory data (PBE-GGA) for a relaxed structure of AlPRu3.

Lattice parameters (Å, degrees): 4.3119 4.3119 4.3119 90.00 90.00 90.00
Last column: nearest neighbours and their distance in Å.
Space group Pm-3m (No. 221)
One atom of each set of equivalent atoms:
Al: 0.0000 0.0000 0.0000  12 Ru 3.05
P: 0.5000 0.5000 0.5000  6 Ru 2.16
Ru: 0.0000 0.5000 0.5000  2 P 2.16



<two>
Density functional theory data (PBE-GGA) for a relaxed structure of AlPRu3.

Lattice parameters (Å, degrees): 4.4034 4.4034 4.4034 90.00 90.00 90.00
Last column: nearest neighbours and their distance in Å.
Space group Pm-3m (No. 221)
One atom of each set of equivalent atoms:
Al: 0.0000 0.0000 0.0000  6 Ru 2.20
P: 0.5000 0.5000 0.5000  12 Ru 3.11
Ru: 0.0000 0.0000 0.5000  2 Al 2.20



The least stable of them is <two>.



<one>
Density functional theory data (PBE-GGA) for a relaxed structure of Al3PRu.

Lattice parameters (Å, degrees): 4.6609 4.6609 4.6609 90.00 90.00 90.00
Last column: nearest neighbours and their distance in Å.
Space group Pm-3m (No. 221)
One atom of each set of equivalent atoms:
Al: 0.0000 0.0000 0.5000  2 Ru 2.33
P: 0.5000 0.5000 0.5000  12 Al 3.30
Ru: 0.0000 0.0000 0.0000  6 Al 2.33



<two>
Density functional theory data (PBE-GGA) for a relaxed structure of Al3PRu.

Lattice parameters (Å, degrees): 4.4979 4.4979 4.4979 90.00 90.00 90.00
Last column: nearest neighbours and their distance in Å.
Space group Pm-3m (No. 221)
One atom of each set of equivalent atoms:
Al: 0.0000 0.0000 0.5000  2 P 2.25
P: 0.0000 0.0000 0.0000  6 Al 2.25
Ru: 0.5000 0.5000 0.5000  12 Al 3.18



The least stable of them is <two>.



<one>
Density functional theory data (PBE-GGA) for a relaxed structure of AlPRuS2.

Lattice parameters (Å, degrees): 4.7940 4.7940 4.3830 90.00 90.00 90.00
Last column: nearest neighbours and their distance in Å.
Space group P4/mmm (No. 123)
One atom of each set of equivalent atoms:
Al: 0.0000 0.0000 0.0000  8 S 3.25, 4 P 3.39
P: 0.5000 0.5000 0.0000  2 Ru 2.19
Ru: 0.5000 0.5000 0.5000  2 P 2.19, 4 S 2.40
S: 0.0000 0.5000 0.5000  2 Ru 2.40



<two>
Density functional theory data (PBE-GGA) for a relaxed structure of AlPRuS2.

Lattice parameters (Å, degrees): 4.4759 4.4759 4.5092 90.00 90.00 90.00
Last column: nearest neighbours and their distance in Å.
Space group P4/mmm (No. 123)
One atom of each set of equivalent atoms:
Al: 0.0000 0.0000 0.0000  4 S 2.24, 2 P 2.25
P: 0.0000 0.0000 0.5000  2 Al 2.25
Ru: 0.5000 0.5000 0.5000  4 P 3.16, 8 S 3.18
S: 0.0000 0.5000 0.0000  2 Al 2.24



The least stable of them is <two>.



<one>
Density functional theory data (PBE-GGA) for a relaxed structure of AlP2RuS.

Lattice parameters (Å, degrees): 4.4270 4.4270 5.2131 90.00 90.00 90.00
Last column: nearest neighbours and their distance in Å.
Space group P4/mmm (No. 123)
One atom of each set of equivalent atoms:
Al: 0.0000 0.0000 0.0000  4 S 3.13, 8 P 3.42
P: 0.0000 0.5000 0.5000  2 Ru 2.21
Ru: 0.5000 0.5000 0.5000  4 P 2.21
S: 0.5000 0.5000 0.0000  2 Ru 2.61



<two>
Density functional theory data (PBE-GGA) for a relaxed structure of AlP2RuS.

Lattice parameters (Å, degrees): 4.5320 4.5320 4.5005 90.00 90.00 90.00
Last column: nearest neighbours and their distance in Å.
Space group P4/mmm (No. 123)
One atom of each set of equivalent atoms:
Al: 0.0000 0.0000 0.0000  2 S 2.25, 4 P 2.27
P: 0.0000 0.5000 0.0000  2 Al 2.27
Ru: 0.5000 0.5000 0.5000  8 P 3.19, 4 S 3.20
S: 0.0000 0.0000 0.5000  2 Al 2.25



The least stable of them is <two>.



<one>
Density functional theory data (PBE-GGA) for a relaxed structure of AlV2PRu.

Lattice parameters (Å, degrees): 4.2494 4.2494 4.4161 90.00 90.00 90.00
Last column: nearest neighbours and their distance in Å.
Space group P4/mmm (No. 123)
One atom of each set of equivalent atoms:
Al: 0.0000 0.0000 0.0000  2 P 2.21
V: 0.0000 0.5000 0.5000  2 P 2.12
P: 0.0000 0.0000 0.5000  4 V 2.12, 2 Al 2.21
Ru: 0.5000 0.5000 0.0000  4 Al 3.00, 8 V 3.06



<two>
Density functional theory data (PBE-GGA) for a relaxed structure of AlV2PRu.

Lattice parameters (Å, degrees): 4.5220 4.5220 4.6148 90.00 90.00 90.00
Last column: nearest neighbours and their distance in Å.
Space group P4/mmm (No. 123)
One atom of each set of equivalent atoms:
Al: 0.0000 0.0000 0.0000  2 Ru 2.31
V: 0.0000 0.5000 0.5000  2 Ru 2.26
P: 0.5000 0.5000 0.0000  4 Al 3.20, 8 V 3.23
Ru: 0.0000 0.0000 0.5000  4 V 2.26, 2 Al 2.31



The least stable of them is <two>.



<one>
Density functional theory data (PBE-GGA) for a relaxed structure of AlPS2.

Lattice parameters (Å, degrees): 6.4722 6.4722 6.9160 90.00 90.00 90.00
Last column: nearest neighbours and their distance in Å.
Space group I-42d (No. 122)
One atom of each set of equivalent atoms:
Al: 0.0000 0.0000 0.0000  4 S 2.35
P: 0.0000 0.0000 0.5000  4 S 2.55
S: 0.2259 0.2500 0.1250  2 Al 2.35, 2 P 2.55



<two>
Density functional theory data (PBE-GGA) for a relaxed structure of AlPS2.

Lattice parameters (Å, degrees): 3.4106 3.4106 22.4488 90.00 90.00 120.00
Last column: nearest neighbours and their distance in Å.
Space group R-3m (No. 166, hexagonal axes)
One atom of each set of equivalent atoms:
Al: 0.0000 0.0000 0.0000  6 S 2.39
P: 0.0000 0.0000 0.5000  2 S 2.39
S: 0.0000 0.0000 0.3936  1 P 2.39, 3 Al 2.39



<three>
Density functional theory data (PBE-GGA) for a relaxed structure of AlPS2.

Lattice parameters (Å, degrees): 6.2440 6.2440 6.2440 90.00 90.00 90.00
Last column: nearest neighbours and their distance in Å.
Space group Fm-3m (No. 225)
One atom of each set of equivalent atoms:
Al: 0.0000 0.0000 0.0000  8 S 2.70
P: 0.0000 0.0000 0.5000  8 S 2.70
S: 0.2500 0.2500 0.2500  4 Al 2.70, 4 P 2.70



The least stable of them is <three>.



<one>
Density functional theory data (PBE-GGA) for a relaxed structure of AlP3S.

Lattice parameters (Å, degrees): 4.6023 4.6023 4.6023 90.00 90.00 90.00
Last column: nearest neighbours and their distance in Å.
Space group Pm-3m (No. 221)
One atom of each set of equivalent atoms:
Al: 0.0000 0.0000 0.0000  6 P 2.30
P: 0.0000 0.0000 0.5000  2 Al 2.30
S: 0.5000 0.5000 0.5000  12 P 3.25



<two>
Density functional theory data (PBE-GGA) for a relaxed structure of AlP3S.

Lattice parameters (Å, degrees): 4.4899 4.4899 4.4899 90.00 90.00 90.00
Last column: nearest neighbours and their distance in Å.
Space group Pm-3m (No. 221)
One atom of each set of equivalent atoms:
Al: 0.0000 0.0000 0.0000  12 P 3.17
P: 0.0000 0.5000 0.5000  2 S 2.24
S: 0.5000 0.5000 0.5000  6 P 2.24



The least stable of them is <one>.



<one>
Density functional theory data (PBE-GGA) for a relaxed structure of SrAlPS2.

Lattice parameters (Å, degrees): 5.6141 5.6141 5.9102 90.00 90.00 90.00
Last column: nearest neighbours and their distance in Å.
Space group P4/mmm (No. 123)
One atom of each set of equivalent atoms:
Sr: 0.0000 0.0000 0.0000  4 S 2.81, 2 P 2.96
Al: 0.5000 0.5000 0.5000  4 P 3.97, 8 S 4.08
P: 0.0000 0.0000 0.5000  2 Sr 2.96
S: 0.0000 0.5000 0.0000  2 Sr 2.81



<two>
Density functional theory data (PBE-GGA) for a relaxed structure of SrAlPS2.

Lattice parameters (Å, degrees): 4.8570 4.8570 4.6157 90.00 90.00 90.00
Last column: nearest neighbours and their distance in Å.
Space group P4/mmm (No. 123)
One atom of each set of equivalent atoms:
Sr: 0.0000 0.0000 0.0000  8 S 3.35, 4 P 3.43
Al: 0.5000 0.5000 0.5000  2 P 2.31, 4 S 2.43
P: 0.5000 0.5000 0.0000  2 Al 2.31
S: 0.0000 0.5000 0.5000  2 Al 2.43



The least stable of them is <one>.



<one>
Density functional theory data (PBE-GGA) for a relaxed structure of TaAlP2S.

Lattice parameters (Å, degrees): 4.5346 4.5346 4.4685 90.00 90.00 90.00
Last column: nearest neighbours and their distance in Å.
Space group P4/mmm (No. 123)
One atom of each set of equivalent atoms:
Ta: 0.0000 0.0000 0.0000  8 P 3.18, 4 S 3.21
Al: 0.5000 0.5000 0.5000  2 S 2.23, 4 P 2.27
P: 0.0000 0.5000 0.5000  2 Al 2.27
S: 0.5000 0.5000 0.0000  2 Al 2.23



<two>
Density functional theory data (PBE-GGA) for a relaxed structure of TaAlP2S.

Lattice parameters (Å, degrees): 4.8810 4.8810 4.7221 90.00 90.00 90.00
Last column: nearest neighbours and their distance in Å.
Space group P4/mmm (No. 123)
One atom of each set of equivalent atoms:
Ta: 0.0000 0.0000 0.0000  2 S 2.36, 4 P 2.44
Al: 0.5000 0.5000 0.5000  8 P 3.40, 4 S 3.45
P: 0.0000 0.5000 0.0000  2 Ta 2.44
S: 0.0000 0.0000 0.5000  2 Ta 2.36



The least stable of them is <one>.



<one>
Density functional theory data (PBE-GGA) for a relaxed structure of AlTcPS2.

Lattice parameters (Å, degrees): 4.7187 4.7187 4.5735 90.00 90.00 90.00
Last column: nearest neighbours and their distance in Å.
Space group P4/mmm (No. 123)
One atom of each set of equivalent atoms:
Al: 0.0000 0.0000 0.0000  8 S 3.29, 4 P 3.34
Tc: 0.5000 0.5000 0.5000  2 P 2.29, 4 S 2.36
P: 0.5000 0.5000 0.0000  2 Tc 2.29
S: 0.0000 0.5000 0.5000  2 Tc 2.36



<two>
Density functional theory data (PBE-GGA) for a relaxed structure of AlTcPS2.

Lattice parameters (Å, degrees): 4.5522 4.5522 4.6797 90.00 90.00 90.00
Last column: nearest neighbours and their distance in Å.
Space group P4/mmm (No. 123)
One atom of each set of equivalent atoms:
Al: 0.0000 0.0000 0.0000  4 S 2.28, 2 P 2.34
Tc: 0.5000 0.5000 0.5000  4 P 3.22, 8 S 3.26
P: 0.0000 0.0000 0.5000  2 Al 2.34
S: 0.0000 0.5000 0.0000  2 Al 2.28



The least stable of them is <two>.



<one>
Density functional theory data (PBE-GGA) for a relaxed structure of AlTeP2S.

Lattice parameters (Å, degrees): 5.0718 5.0718 5.0649 90.00 90.00 90.00
Last column: nearest neighbours and their distance in Å.
Space group P4/mmm (No. 123)
One atom of each set of equivalent atoms:
Al: 0.0000 0.0000 0.0000  8 P 3.58, 4 S 3.59
Te: 0.5000 0.5000 0.5000  2 S 2.53, 4 P 2.54
P: 0.0000 0.5000 0.5000  2 Te 2.54
S: 0.5000 0.5000 0.0000  2 Te 2.53



<two>
Density functional theory data (PBE-GGA) for a relaxed structure of AlTeP2S.

Lattice parameters (Å, degrees): 4.7622 4.7622 4.4852 90.00 90.00 90.00
Last column: nearest neighbours and their distance in Å.
Space group P4/mmm (No. 123)
One atom of each set of equivalent atoms:
Al: 0.0000 0.0000 0.0000  2 S 2.24, 4 P 2.38
Te: 0.5000 0.5000 0.5000  8 P 3.27, 4 S 3.37
P: 0.0000 0.5000 0.0000  2 Al 2.38
S: 0.0000 0.0000 0.5000  2 Al 2.24



The least stable of them is <one>.